Record 1
DFT (PBE-GGA) results for a relaxed PmNd2Er2Tm2 crystal.

The structure belongs to space group C2/m (No. 12); the cell edges are 17.702, 3.490 and 8.414 Å and the angles 90.00°, 116.66° and 90.00°. The distinct sites, in fractional coordinates, are Pm at (0.000, 0.000, 0.000), Nd at (0.148, 0.500, 0.884), Er at (0.211, 0.000, 0.301) and Tm at (0.071, 0.500, 0.406).

The raw total energy is -4.470 eV per atom.

***

Record 2
DFT (PBE-GGA) results for a relaxed LiCa2TlSe crystal.

The structure belongs to space group P4/mmm (No. 123); the cell edges are 5.650, 5.650 and 4.674 Å and the angles 90.00°, 90.00° and 90.00°. The distinct sites, in fractional coordinates, are Li at (0.000, 0.000, 0.000), Ca at (0.000, 0.500, 0.500), Tl at (0.500, 0.500, 0.000) and Se at (0.000, 0.000, 0.500).

The raw formation energy is -0.786 eV per atom.

***

Record 3
DFT (PBE-GGA) results for a relaxed CaIN2 crystal.

The structure belongs to space group R-3m (No. 166, hexagonal axes); the cell edges are 3.5890, 3.5890 and 20.4723 Å and the angles 90.00°, 90.00° and 120.00°. The distinct sites, in fractional coordinates, are Ca at (0.0000, 0.0000, 0.0000), I at (0.0000, 0.0000, 0.5000) and N at (0.0000, 0.0000, 0.1117).

The raw formation energy is 1.198 eV per atom.

***

Record 4
DFT (PBE-GGA) results for a relaxed CsCuF4 crystal.

The structure belongs to space group I4/mcm (No. 140); the cell edges are 6.418, 6.418 and 12.108 Å and the angles 90.00°, 90.00° and 90.00°. The distinct sites, in fractional coordinates, are Cs at (0.000, 0.000, 0.250), Cu at (0.000, 0.500, 0.000) and F at (0.139, 0.361, 0.104).

The raw formation energy is -1.952 eV per atom.

***

Record 5
DFT (PBE-GGA) results for a relaxed Pu2UN crystal.

The structure belongs to space group P4/mmm (No. 123); the cell edges are 3.358, 3.358 and 6.546 Å and the angles 90.00°, 90.00° and 90.00°. The distinct sites, in fractional coordinates, are Pu at (0.000, 0.500, 0.000), U at (0.000, 0.000, 0.500) and N at (0.500, 0.500, 0.500).

The raw formation energy is 0.241 eV per atom.

***

Record 6
DFT (PBE-GGA) results for a relaxed In2CoAs crystal.

The structure belongs to space group I-42d (No. 122); the cell edges are 7.597, 7.597 and 5.698 Å and the angles 90.00°, 90.00° and 90.00°. The distinct sites, in fractional coordinates, are In at (0.226, 0.750, 0.125), Co at (0.000, 0.000, 0.000) and As at (0.000, 0.000, 0.500).

The raw total energy is -3.875 eV per atom.

***

Record 7
DFT (PBE-GGA) results for a relaxed LiMn2Pd8 crystal.

The structure belongs to space group Immm (No. 71); the cell edges are 4.178, 7.123 and 11.355 Å and the angles 90.00°, 90.00° and 90.00°. The distinct sites, in fractional coordinates, are Li at (0.000, 0.000, 0.000), Mn at (0.000, 0.000, 0.297), Pd at (0.000, 0.188, 0.500), Pd at (0.000, 0.285, 0.155) and Pd at (0.000, 0.500, 0.360).

The raw total energy is -5.767 eV per atom.

***

Record 8
DFT (PBE-GGA) results for a relaxed VTc2Cl crystal.

The structure belongs to space group I-42d (No. 122); the cell edges are 5.498, 5.498 and 10.128 Å and the angles 90.00°, 90.00° and 90.00°. The distinct sites, in fractional coordinates, are V at (0.000, 0.000, 0.000), Tc at (0.244, 0.250, 0.625) and Cl at (0.000, 0.000, 0.500).

The raw formation energy is 0.995 eV per atom.

***

Record 9
DFT (PBE-GGA) results for a relaxed La2HfB2 crystal.

The structure belongs to space group I4/mmm (No. 139); the cell edges are 4.015, 4.015 and 11.882 Å and the angles 90.00°, 90.00° and 90.00°. The distinct sites, in fractional coordinates, are La at (0.000, 0.500, 0.250), Hf at (0.000, 0.000, 0.000) and B at (0.000, 0.000, 0.431).

The raw total energy is -6.229 eV per atom.

***

Record 10
DFT (PBE-GGA) results for a relaxed LaPr3Ho6Er2 crystal.

The structure belongs to space group C2/m (No. 12); the cell edges are 6.223, 10.776 and 11.851 Å and the angles 90.00°, 100.05° and 90.00°. The distinct sites, in fractional coordinates, are La at (0.000, 0.000, 0.000), Pr at (0.000, 0.167, 0.500), Pr at (0.000, 0.500, 0.500), Ho at (0.248, 0.500, 0.248), Ho at (0.250, 0.167, 0.248) and Er at (0.000, 0.333, 0.000).

The raw total energy is -4.633 eV per atom.

***

Record 11
DFT (PBE-GGA) results for a relaxed Mn2GaC crystal.

The structure belongs to space group R3m (No. 160, hexagonal axes); the cell edges are 2.8878, 2.8878 and 18.5238 Å and the angles 90.00°, 90.00° and 120.00°. The distinct sites, in fractional coordinates, are Mn at (0.0000, 0.0000, 0.0000), Mn at (0.0000, 0.0000, 0.2201), Ga at (0.0000, 0.0000, 0.4435) and C at (0.0000, 0.0000, 0.6104).

The raw total energy is -7.773 eV per atom.

***

| no. | calculated volume (A^3/atom) | size of the total moment (μB per cell) |
| --- | --- | --- |
| 1 | 33.181 | 0.00 |
| 2 | 29.839 | 0.00 |
| 3 | 19.031 | 0.00 |
| 4 | 20.782 | 0.49 |
| 5 | 18.453 | 1.60 |
| 6 | 20.555 | 0.59 |
| 7 | 15.359 | 18.29 |
| 8 | 19.131 | 0.00 |
| 9 | 19.150 | 0.00 |
| 10 | 32.606 | 0.00 |
| 11 | 11.148 | 10.86 |